Computed, not measured: a relaxed structure of Mg2ZnCu5 at the PBE-GGA level of DFT.

Output
Raw total energy: -2.94 eV per atom
V: 107.3 Å³/cell

a b c (Å): 4.232 4.232 5.990
angles (deg): 90.00 90.00 90.00
Fractional coordinates of all 8 atoms:
Mg 0.000 0.000 0.000
Mg 0.500 0.500 0.500
Zn 0.000 0.000 0.500
Cu 0.000 0.500 0.248
Cu 0.000 0.500 0.752
Cu 0.500 0.000 0.248
Cu 0.500 0.000 0.752
Cu 0.500 0.500 0.000

---

Computed, not measured: a relaxed structure of GaAsIrO at the PBE-GGA level of DFT.

Output
E above lowest polymorph: 0.892 eV per atom
Raw total energy: -5.05 eV per atom
V: 127.7 Å³/cell

a b c (Å): 4.096 4.096 7.614
angles (deg): 90.00 90.00 90.00
Fractional coordinates of all 8 atoms:
Ga 0.250 0.750 0.000
Ga 0.750 0.250 0.000
As 0.250 0.250 0.217
As 0.750 0.750 0.783
Ir 0.250 0.250 0.567
Ir 0.750 0.750 0.433
O 0.250 0.750 0.500
O 0.750 0.250 0.500

---

Computed, not measured: a relaxed structure of Ba3Nb at the PBE-GGA level of DFT.

Output
Raw total energy: -3.43 eV per atom
V: 433.0 Å³/cell

a b c (Å): 10.012 10.012 4.988
angles (deg): 90.00 90.00 120.00
Fractional coordinates of all 8 atoms:
Ba 0.000 0.333 0.250
Ba 0.000 0.667 0.750
Ba 0.333 0.000 0.250
Ba 0.333 0.333 0.750
Ba 0.667 0.000 0.750
Ba 0.667 0.667 0.250
Nb 0.000 0.000 0.000
Nb 0.000 0.000 0.500

---

Computed, not measured: a relaxed structure of Sc2Tc2O5 at the PBE-GGA level of DFT.

Output
E above lowest polymorph: 0.000 eV per atom
Raw total energy: -8.15 eV per atom
V: 100.1 Å³/cell

a b c (Å): 3.906 3.906 6.563
angles (deg): 90.00 90.00 90.00
Fractional coordinates of all 9 atoms:
Sc 0.000 0.000 0.000
Sc 0.000 0.000 0.500
Tc 0.500 0.500 0.174
Tc 0.500 0.500 0.826
O 0.000 0.500 0.229
O 0.000 0.500 0.771
O 0.500 0.000 0.229
O 0.500 0.000 0.771
O 0.500 0.500 0.500

---

Computed, not measured: a relaxed structure of TmLu6Ni2Te2 at the PBE-GGA level of DFT.

Output
Raw total energy: -5.14 eV per atom
V: 271.0 Å³/cell

a b c (Å): 9.137 9.137 9.137
angles (deg): 156.03 67.32 118.15
Fractional coordinates of all 11 atoms:
Tm 0.000 0.000 0.000
Lu 0.062 0.376 0.686
Lu 0.081 0.728 0.353
Lu 0.375 0.728 0.647
Lu 0.446 0.582 0.865
Lu 0.691 0.376 0.314
Lu 0.717 0.582 0.135
Ni 0.305 0.069 0.236
Ni 0.833 0.069 0.764
Te 0.339 0.339 0.000
Te 0.733 0.233 0.500

---

Computed, not measured: a relaxed structure of Sc2Cu2SnPb at the PBE-GGA level of DFT.

Output
Raw total energy: -5.06 eV per atom
V: 495.1 Å³/cell

a b c (Å): 10.875 4.438 10.879
angles (deg): 90.00 109.47 90.00
Fractional coordinates of all 24 atoms:
Sc 0.000 0.000 0.000
Sc 0.122 0.500 0.375
Sc 0.246 0.000 0.747
Sc 0.375 0.500 0.129
Sc 0.500 0.000 0.500
Sc 0.625 0.500 0.872
Sc 0.749 0.000 0.252
Sc 0.872 0.500 0.624
Cu 0.128 0.500 0.130
Cu 0.244 0.000 0.495
Cu 0.374 0.500 0.875
Cu 0.499 0.000 0.255
Cu 0.628 0.500 0.624
Cu 0.749 0.000 0.996
Cu 0.873 0.500 0.379
Cu 0.994 0.000 0.745
Sn 0.249 0.000 0.251
Sn 0.624 0.500 0.376
Sn 0.749 0.000 0.749
Sn 0.998 0.000 0.499
Pb 0.123 0.500 0.875
Pb 0.374 0.500 0.624
Pb 0.499 0.000 0.001
Pb 0.874 0.500 0.125

---

Computed, not measured: a relaxed structure of TbGeTeAuSe2 at the PBE-GGA level of DFT.

Output
Raw total energy: -4.47 eV per atom
V: 309.0 Å³/cell

a b c (Å): 7.224 7.224 11.129
angles (deg): 90.00 90.00 147.86
Fractional coordinates of all 12 atoms:
Tb 0.000 0.000 0.000
Tb 0.000 0.000 0.500
Ge 0.184 0.816 0.750
Ge 0.816 0.184 0.250
Te 0.112 0.888 0.250
Te 0.888 0.112 0.750
Au 0.472 0.528 0.250
Au 0.528 0.472 0.750
Se 0.355 0.645 0.062
Se 0.355 0.645 0.438
Se 0.645 0.355 0.562
Se 0.645 0.355 0.938

---

Computed, not measured: a relaxed structure of NaAs5Os3 at the PBE-GGA level of DFT.

Output
Raw total energy: -6.20 eV per atom
V: 195.9 Å³/cell

a b c (Å): 5.568 5.568 7.296
angles (deg): 90.00 90.00 120.00
Fractional coordinates of all 9 atoms:
Na 0.000 0.000 0.000
As 0.000 0.000 0.500
As 0.333 0.667 0.233
As 0.333 0.667 0.767
As 0.667 0.333 0.233
As 0.667 0.333 0.767
Os 0.000 0.500 0.500
Os 0.500 0.000 0.500
Os 0.500 0.500 0.500